[1]
The following is a DFT calculation (PBE) of NaCaBiSb after structural relaxation.

abc: 4.5782 4.9281 5.0717
angles: 90.00 90.00 90.00
Space group Pmmm (No. 47)
Symmetry-distinct sites (fractional):
Na: 0.0000 0.0000 0.0000 x1
Ca: 0.0000 0.5000 0.5000 x1
Bi: 0.5000 0.5000 0.0000 x1
Sb: 0.5000 0.0000 0.5000 x1

Output
Total magnetic moment = 0.00 μB per formula unit
Raw total energy = -3.3897 eV per atom
ΔE to the lowest computed polymorph = 0 meV per atom
Formation energy (no corrections) = -0.559 eV/atom



[2]
The following is a DFT calculation (PBE) of TbNd5Sm2 after structural relaxation.

abc: 7.3056 14.6181 5.1637
angles: 90.00 90.00 90.00
Space group Pbam (No. 55)
Symmetry-distinct sites (fractional):
Tb: 0.0000 0.0000 0.0000 x2
Nd: 0.0000 0.5000 0.0000 x2
Nd: 0.0008 0.2489 0.0000 x4
Nd: 0.2488 0.8758 0.5000 x4
Sm: 0.2503 0.1242 0.5000 x4

Output
Total magnetic moment = 0.00 μB per formula unit
Raw total energy = -4.7240 eV per atom
ΔE to the lowest computed polymorph = 0 meV per atom
Formation energy from the elements = 0.014 eV/atom